# 1
The following is a PBE calculation of a geometry-optimized Dy4MgCo structure, from the Alexandria database.

Cell: 7.7145 7.7145 6.0149 Å, 99.79 99.79 109.08°
Closest atoms and distances in Å follow each position.
Positions (direct):
Dy (0.0578, 0.7330, 0.9545)  2 Co 2.68-2.70
Dy (0.1914, 0.3667, 0.6151)  2 Co 3.00-3.05, 1 Mg 3.24
Dy (0.2670, 0.9422, 0.5455)  2 Co 2.68-2.70
Dy (0.3667, 0.1914, 0.1151)  2 Co 3.00-3.05, 1 Mg 3.24
Dy (0.6333, 0.8086, 0.8849)  2 Co 3.00-3.05, 1 Mg 3.24
Dy (0.7330, 0.0578, 0.4545)  2 Co 2.68-2.70
Dy (0.8086, 0.6333, 0.3849)  2 Co 3.00-3.05, 1 Mg 3.24
Dy (0.9422, 0.2670, 0.0455)  2 Co 2.68-2.70
Mg (0.3792, 0.6208, 0.2500)  8 Dy 3.24-3.43
Mg (0.6208, 0.3792, 0.7500)  8 Dy 3.24-3.43
Co (0.0010, 0.9990, 0.7500)  4 Dy 2.68-2.70
Co (0.9990, 0.0010, 0.2500)  4 Dy 2.68-2.70

Values from the calculation:
The value obtained for the formation energy is -79 meV/atom. As for the energy above the most stable polymorph in this dataset: 75 meV/atom.

# 2
The following is a PBE calculation of a geometry-optimized Dy3MgCo structure, from the Alexandria database.

Cell: 5.2016 5.2016 5.2016 Å, 90.00 90.00 90.00°
Closest atoms and distances in Å follow each position.
Positions (direct):
Dy (0.0000, 0.0000, 0.5000)  2 Co 2.60
Dy (0.0000, 0.5000, 0.0000)  2 Co 2.60
Dy (0.5000, 0.0000, 0.0000)  2 Co 2.60
Mg (0.5000, 0.5000, 0.5000)  12 Dy 3.68
Co (0.0000, 0.0000, 0.0000)  6 Dy 2.60

Values from the calculation:
The value obtained for the formation energy is -48 meV/atom. As for the energy above the most stable polymorph in this dataset: 73 meV/atom.

# 3
The following is a PBE calculation of a geometry-optimized DyMgCo structure, from the Alexandria database.

Cell: 6.1337 6.1337 6.1337 Å, 149.15 149.15 44.20°
Closest atoms and distances in Å follow each position.
Positions (direct):
Dy (0.0000, 0.0000, 0.0000)  4 Co 2.79, 1 Mg 3.05
Mg (0.7319, 0.7319, 0.0000)  4 Co 2.74, 1 Dy 3.05
Co (0.3624, 0.3624, 0.0000)  4 Mg 2.74, 4 Dy 2.79

Values from the calculation:
The value obtained for the formation energy is -30 meV/atom.

# 4
The following is a PBE calculation of a geometry-optimized Dy6Mg2Co structure, from the Alexandria database.

Cell: 7.0695 7.0695 7.3303 Å, 120.64 120.64 61.56°
Closest atoms and distances in Å follow each position.
Positions (direct):
Dy (0.2220, 0.7231, 0.7221)  1 Co 2.59
Dy (0.2562, 0.2562, 0.2103)  1 Co 2.52
Dy (0.2769, 0.7780, 0.2779)  1 Co 2.59
Dy (0.7231, 0.2220, 0.7221)  1 Co 2.59
Dy (0.7438, 0.7438, 0.7897)  1 Co 2.52
Dy (0.7780, 0.2769, 0.2779)  1 Co 2.59
Mg (0.2482, 0.2482, 0.7583)  7 Dy 3.26-3.63
Mg (0.7518, 0.7518, 0.2417)  7 Dy 3.26-3.63
Co (0.0000, 0.0000, 0.0000)  6 Dy 2.52-2.59

Values from the calculation:
The value obtained for the formation energy is -38 meV/atom.

# 5
The following is a PBE calculation of a geometry-optimized DyMg2Co structure, from the Alexandria database.

Cell: 7.1099 7.1099 5.2383 Å, 99.31 99.31 135.49°
Closest atoms and distances in Å follow each position.
Positions (direct):
Dy (0.1776, 0.8224, 0.7500)  4 Co 2.79-2.85
Dy (0.8224, 0.1776, 0.2500)  4 Co 2.79-2.85
Mg (0.2264, 0.4022, 0.9101)  2 Co 2.64-2.67, 1 Mg 2.94
Mg (0.4022, 0.2264, 0.4101)  2 Co 2.64-2.67, 1 Mg 2.94
Mg (0.5978, 0.7736, 0.5899)  2 Co 2.64-2.67, 1 Mg 2.94
Mg (0.7736, 0.5978, 0.0899)  2 Co 2.64-2.67, 1 Mg 2.94
Co (0.2512, 0.7488, 0.2500)  4 Mg 2.64-2.67, 4 Dy 2.79-2.85, 2 Co 2.84
Co (0.7488, 0.2512, 0.7500)  4 Mg 2.64-2.67, 4 Dy 2.79-2.85, 2 Co 2.84

Values from the calculation:
The value obtained for the formation energy is -112 meV/atom.

# 6
The following is a PBE calculation of a geometry-optimized Dy8Mg3Co2 structure, from the Alexandria database.

Cell: 10.5498 10.5498 3.5951 Å, 92.62 92.62 59.94°
Closest atoms and distances in Å follow each position.
Positions (direct):
Dy (0.0240, 0.6240, 0.2628)  2 Co 2.86-2.90
Dy (0.0732, 0.0732, 0.2632)  1 Co 2.66
Dy (0.3306, 0.3306, 0.8037)  2 Co 2.69-2.76
Dy (0.3760, 0.9760, 0.7372)  2 Co 2.86-2.90
Dy (0.6240, 0.0240, 0.2628)  2 Co 2.86-2.90
Dy (0.6694, 0.6694, 0.1963)  2 Co 2.69-2.76
Dy (0.9268, 0.9268, 0.7368)  1 Co 2.66
Dy (0.9760, 0.3760, 0.7372)  2 Co 2.86-2.90
Mg (0.2696, 0.7304, 0.0000)  2 Mg 3.02, 2 Dy 3.26
Mg (0.5000, 0.5000, 0.5000)  4 Mg 3.02, 2 Dy 3.34
Mg (0.7304, 0.2696, 0.0000)  2 Mg 3.02, 2 Dy 3.26
Co (0.2185, 0.2185, 0.2583)  7 Dy 2.66-2.90
Co (0.7815, 0.7815, 0.7417)  7 Dy 2.66-2.90

Values from the calculation:
The value obtained for the formation energy is -25 meV/atom.